Entry 1:
# GdGaHg

Crystalline GdGaHg at its relaxed geometry (GGA-PBE, the Alexandria database).

As for the calculated formation energy: -0.42 eV/atom. Its space-group type is No. 216.

abc: 4.7375 4.7375 4.7375
angles: 60.00 60.00 60.00
Last column: nearest neighbours and their distance in Å.
Positions (direct):
Gd  0.0000  0.0000  0.0000  4 Ga 2.90
Ga  0.2500  0.2500  0.2500  4 Gd 2.90, 4 Hg 2.90
Hg  0.5000  0.5000  0.5000  4 Ga 2.90


Entry 2:
# GdGaHg2

Crystalline GdGaHg2 at its relaxed geometry (GGA-PBE, the Alexandria database).

As for the calculated formation energy: -0.28 eV/atom. Its space-group type is No. 123.

abc: 3.7730 3.7730 6.7412
angles: 90.00 90.00 90.00
Last column: nearest neighbours and their distance in Å.
Positions (direct):
Gd  0.0000  0.0000  0.0000  8 Hg 3.21, 2 Ga 3.37
Ga  0.0000  0.0000  0.5000  8 Hg 3.10, 2 Gd 3.37
Hg  0.5000  0.5000  0.2650  4 Ga 3.10, 1 Hg 3.17, 4 Gd 3.21
Hg  0.5000  0.5000  0.7350  4 Ga 3.10, 1 Hg 3.17, 4 Gd 3.21


Entry 3:
# Gd2GaHg

Crystalline Gd2GaHg at its relaxed geometry (GGA-PBE, the Alexandria database).

As for the calculated formation energy: -0.38 eV/atom. Its space-group type is No. 166.

abc: 9.2799 9.2799 9.2799
angles: 23.30 23.30 23.30
Last column: nearest neighbours and their distance in Å.
Positions (direct):
Gd  0.2452  0.2452  0.2452  3 Ga 3.03, 3 Hg 3.22
Gd  0.7548  0.7548  0.7548  3 Ga 3.03, 3 Hg 3.22
Ga  0.5000  0.5000  0.5000  6 Gd 3.03
Hg  0.0000  0.0000  0.0000  6 Gd 3.22


Entry 4:
# Gd2GaHg

Crystalline Gd2GaHg at its relaxed geometry (GGA-PBE, the Alexandria database).

As for the calculated formation energy: -0.55 eV/atom. Its space-group type is No. 123.

abc: 3.6674 3.6674 7.4800
angles: 90.00 90.00 90.00
Last column: nearest neighbours and their distance in Å.
Positions (direct):
Gd  0.0000  0.0000  0.2380  4 Ga 3.15, 4 Hg 3.25
Gd  0.0000  0.0000  0.7620  4 Ga 3.15, 4 Hg 3.25
Ga  0.5000  0.5000  0.0000  8 Gd 3.15
Hg  0.5000  0.5000  0.5000  8 Gd 3.25


Entry 5:
# GdGa2Hg

Crystalline GdGa2Hg at its relaxed geometry (GGA-PBE, the Alexandria database).

As for the calculated formation energy: -0.35 eV/atom. Its energy above the most stable polymorph in this dataset is 31 kJ/mol of formula units. Its space-group type is No. 166.

abc: 5.7532 5.7532 5.7532
angles: 45.61 45.61 45.61
Last column: nearest neighbours and their distance in Å.
Positions (direct):
Gd  0.0000  0.0000  0.0000  6 Ga 3.03
Ga  0.2298  0.2298  0.2298  3 Hg 2.75, 3 Gd 3.03
Ga  0.7702  0.7702  0.7702  3 Hg 2.75, 3 Gd 3.03
Hg  0.5000  0.5000  0.5000  6 Ga 2.75


Entry 6:
# GdGa2Hg

Crystalline GdGa2Hg at its relaxed geometry (GGA-PBE, the Alexandria database).

As for the calculated formation energy: -0.26 eV/atom. Its energy above the most stable polymorph in this dataset is 64 kJ/mol of formula units. Its space-group type is No. 225.

abc: 4.9856 4.9856 4.9856
angles: 60.00 60.00 60.00
Last column: nearest neighbours and their distance in Å.
Positions (direct):
Gd  0.0000  0.0000  0.0000  8 Ga 3.05
Ga  0.2500  0.2500  0.2500  4 Gd 3.05, 4 Hg 3.05
Ga  0.7500  0.7500  0.7500  4 Hg 3.05, 4 Gd 3.05
Hg  0.5000  0.5000  0.5000  8 Ga 3.05


Entry 7:
# GdGa4Hg

Crystalline GdGa4Hg at its relaxed geometry (GGA-PBE, the Alexandria database).

As for the calculated formation energy: -0.22 eV/atom. Its space-group type is No. 216.

abc: 5.6131 5.6131 5.6131
angles: 60.00 60.00 60.00
Last column: nearest neighbours and their distance in Å.
Positions (direct):
Gd  0.0000  0.0000  0.0000  12 Ga 3.29, 4 Hg 3.44
Ga  0.3748  0.3748  0.3748  6 Ga 2.80-2.81
Ga  0.3748  0.3748  0.8757  6 Ga 2.80-2.81
Ga  0.3748  0.8757  0.3748  6 Ga 2.80-2.81
Ga  0.8757  0.3748  0.3748  6 Ga 2.80-2.81
Hg  0.7500  0.7500  0.7500  12 Ga 3.29, 4 Gd 3.44


Entry 8:
# GdGaHg

Crystalline GdGaHg at its relaxed geometry (GGA-PBE, the Alexandria database).

As for the calculated formation energy: -0.36 eV/atom. Its space-group type is No. 107.

abc: 6.2654 6.2654 6.2654
angles: 147.73 147.73 46.29
Last column: nearest neighbours and their distance in Å.
Positions (direct):
Gd  0.0000  0.0000  0.0000  4 Ga 3.14, 4 Hg 3.25, 4 Gd 3.48
Ga  0.6684  0.6684  0.0000  4 Hg 2.99, 4 Gd 3.14
Hg  0.3161  0.3161  0.0000  4 Ga 2.99, 4 Gd 3.25